# 1
A relaxed structure of Ba3CeBi2O9, computed with PBE.

abc: 6.2819 6.2819 7.6822
angles: 90.00 90.00 120.00
Last column: nearest neighbours and their distance in Å.
Element x y z (fractional)
Ba1 0.0000 0.0000 0.0000  12 O 3.14-3.15
Ba2 0.3333 0.6667 0.6725  12 O 3.10-3.16
Ba3 0.6667 0.3333 0.3275  12 O 3.10-3.16
Ce1 0.0000 0.0000 0.5000  6 O 2.22
Bi1 0.3333 0.6667 0.1671  6 O 2.22
Bi2 0.6667 0.3333 0.8329  6 O 2.22
O1 0.0000 0.5000 0.0000  2 Bi 2.22
O2 0.1677 0.3355 0.3350  1 Bi 2.22, 1 Ce 2.22
O3 0.1677 0.8323 0.3350  1 Bi 2.22, 1 Ce 2.22
O4 0.3355 0.1677 0.6650  1 Bi 2.22, 1 Ce 2.22
O5 0.5000 0.0000 0.0000  2 Bi 2.22
O6 0.5000 0.5000 0.0000  2 Bi 2.22
O7 0.6645 0.8323 0.3350  1 Bi 2.22, 1 Ce 2.22
O8 0.8323 0.1677 0.6650  1 Bi 2.22, 1 Ce 2.22
O9 0.8323 0.6645 0.6650  1 Bi 2.22, 1 Ce 2.22

* formation energy (no corrections): -2.252 eV/atom
* magnetization: 0.00 μB/f.u.

***

# 2
A relaxed structure of Dy2Y3Er6Mg, computed with PBE.

abc: 6.0859 6.0859 11.6290
angles: 95.04 95.04 120.03
Last column: nearest neighbours and their distance in Å.
Element x y z (fractional)
Dy1 0.1663 0.8337 0.0000  6 Er 3.48-3.49, 3 Dy 3.51-3.52, 3 Mg 3.51-3.52
Dy2 0.8337 0.1663 0.0000  6 Er 3.48-3.49, 3 Dy 3.51-3.52, 3 Mg 3.51-3.52
Y1 0.0000 0.0000 0.5000  6 Y 3.51-3.52, 6 Er 3.52-3.53
Y2 0.3343 0.6657 0.5000  6 Y 3.49-3.52, 6 Er 3.52-3.54
Y3 0.6657 0.3343 0.5000  6 Y 3.49-3.52, 6 Er 3.52-3.54
Er1 0.0854 0.4185 0.7526  1 Mg 3.48, 2 Dy 3.48-3.49, 6 Er 3.51-3.52, 3 Y 3.53-3.54
Er2 0.2482 0.2482 0.2483  2 Dy 3.49, 1 Mg 3.50, 6 Er 3.51-3.52, 3 Y 3.52
Er3 0.4185 0.0854 0.7526  1 Mg 3.48, 2 Dy 3.48-3.49, 6 Er 3.51-3.52, 3 Y 3.53-3.54
Er4 0.5815 0.9146 0.2474  1 Mg 3.48, 2 Dy 3.48-3.49, 6 Er 3.51-3.52, 3 Y 3.53-3.54
Er5 0.7518 0.7518 0.7517  2 Dy 3.49, 1 Mg 3.50, 6 Er 3.51-3.52, 3 Y 3.52
Er6 0.9146 0.5815 0.2474  1 Mg 3.48, 2 Dy 3.48-3.49, 6 Er 3.51-3.52, 3 Y 3.53-3.54
Mg1 0.5000 0.5000 0.0000  6 Er 3.48-3.50, 6 Dy 3.51-3.52

* magnetization: 0.00 μB/f.u.
* formation energy: 0.035 eV per atom

***

# 3
A relaxed structure of BaDy2C2N6, computed with PBE.

abc: 5.9075 5.9075 6.1470
angles: 111.18 111.18 62.72
Last column: nearest neighbours and their distance in Å.
Element x y z (fractional)
Ba1 0.0000 0.0000 0.0000  4 N 2.95, 2 C 3.07
Dy1 0.3241 0.3241 0.6893  6 N 2.25-2.51
Dy2 0.6759 0.6759 0.3107  6 N 2.25-2.51
C1 0.3361 0.3361 0.2450  3 N 1.34-1.35
C2 0.6639 0.6639 0.7550  3 N 1.34-1.35
N1 0.1023 0.4752 0.3051  1 C 1.35
N2 0.4246 0.4246 0.1317  1 C 1.34
N3 0.4752 0.1023 0.3051  1 C 1.35
N4 0.5248 0.8977 0.6949  1 C 1.35
N5 0.5754 0.5754 0.8683  1 C 1.34
N6 0.8977 0.5248 0.6949  1 C 1.35

* formation energy (no corrections): -0.597 eV/atom
* magnetization: 0.70 μB/f.u.

***

Number 1: electronic total energy -97.87 eV per cell. Number 2: electronic total energy -57.15 eV per cell. Number 3: electronic total energy -86.09 eV per cell.